PBE Sc2OsRu, optimized geometry; VASP energy = -8.495 eV per atom; symmetry = C2/m, No. 12; DFT formation energy = -203.2 meV/atom
1.0
2.9465 -4.1901 0.0000
2.9465 4.1901 0.0000
-1.1251 0.0000 2.7109
Sc Os Ru
2 1 1
Cartesian
1.4732 2.0950 0.0000
1.4732 -2.0950 0.0000
-0.5626 0.0000 1.3555
2.3839 0.0000 1.3555

PBE LuTaRe4, optimized geometry; VASP energy = -11.170 eV per atom; symmetry = F-43m, No. 216; DFT formation energy = -142.7 meV/atom
1.0
0.0000 3.7321 3.7321
3.7321 0.0000 3.7321
3.7321 3.7321 0.0000
Lu Ta Re
1 1 4
Cartesian
0.0000 0.0000 0.0000
5.5982 5.5982 5.5982
2.8004 2.8004 2.8004
4.6638 4.6638 2.8004
4.6638 2.8004 4.6638
2.8004 4.6638 4.6638

PBE DyTm4Mg, optimized geometry; VASP energy = -3.954 eV per atom; symmetry = C2/c, No. 15; DFT formation energy = 59.9 meV/atom
1.0
5.1306 -6.3726 0.0000
5.1306 6.3726 0.0000
-3.4559 0.0000 5.4163
Dy Tm Mg
2 8 2
Cartesian
2.5386 4.2550 4.0622
4.2666 -4.2550 1.3541
2.5326 2.3940 1.3826
0.8512 0.9549 4.1417
2.5792 -0.9549 1.4336
6.0006 2.3940 1.3255
0.8046 -2.3940 4.0908
4.2260 0.9549 3.9827
5.9540 -0.9549 1.2746
4.2726 -2.3940 4.0337
4.2666 5.2379 1.3541
2.5386 -5.2379 4.0622

PBE BaTh2BeN4, optimized geometry; formation energy from raw total energies = -1.306 eV per atom; VASP energy = -8.030 eV per atom; symmetry = Cmcm, No. 63
1.0
1.8560 -6.2029 0.0000
1.8560 6.2029 0.0000
0.0000 0.0000 11.6529
Ba Th Be N
2 4 2 8
Cartesian
1.8560 5.0332 8.7397
1.8560 -5.0332 2.9132
1.8560 1.6513 6.4995
1.8560 1.6513 10.9799
1.8560 -1.6513 0.6730
1.8560 -1.6513 5.1534
1.8560 3.8380 2.9132
1.8560 -3.8380 8.7397
0.0000 0.0000 0.0000
0.0000 0.0000 5.8265
1.8560 3.1019 1.3921
1.8560 3.1019 4.4343
1.8560 1.1099 8.7397
1.8560 -1.1099 2.9132
1.8560 -3.1019 7.2186
1.8560 -3.1019 10.2608

PBE CsPuAlO4, optimized geometry; formation energy from raw total energies = -2.577 eV per atom; VASP energy = -8.114 eV per atom; symmetry = P2_1/m, No. 11
1.0
5.7081 0.0000 0.0000
0.0000 5.8093 0.0000
-0.1515 0.0000 8.0180
Cs Pu Al O
2 2 2 8
Cartesian
1.4119 1.4523 0.8746
4.1447 4.3570 7.1435
1.0875 4.3570 3.7153
4.4691 1.4523 4.3027
1.6803 1.4523 5.2358
3.8763 4.3570 2.7822
0.5001 0.1139 5.2734
0.5001 2.7908 5.2734
2.3689 4.3570 1.8715
2.4343 1.4523 3.6070
3.1223 4.3570 4.4110
3.1877 1.4523 6.1465
5.0565 3.0185 2.7446
5.0565 5.6954 2.7446

PBE Hf2ScH8, optimized geometry; VASP energy = -5.205 eV per atom; symmetry = Immm, No. 71
1.0
-1.5567 2.7614 4.6838
1.5567 -2.7614 4.6838
1.5567 2.7614 -4.6838
Hf Sc H
2 1 8
Cartesian
0.0000 0.0000 1.6013
0.0000 0.0000 7.7663
0.0000 0.0000 4.6838
1.5567 1.3354 -1.5185
0.0000 1.2854 0.0000
1.5567 0.0000 3.0446
1.5567 1.3354 1.5185
0.0000 1.4260 3.1654
0.0000 2.7614 1.6393
0.0000 4.2374 0.0000
0.0000 1.4260 6.2023